This record from Alexandria describes LiSi2Se at its PBEsol-relaxed geometry. The functional is meta-GGA SCAN.

Cell and atoms, written as CIF:
```
data_LiSi2Se
_chemical_formula_sum 'Li1 Si2 Se1'
_cell_length_a 3.5072
_cell_length_b 3.5072
_cell_length_c 5.5364
_cell_angle_alpha 90.00
_cell_angle_beta 90.00
_cell_angle_gamma 90.00
_symmetry_space_group_name_H-M 'P 4 m m'
_symmetry_Int_Tables_number 99
_symmetry_space_group_name_Hall 'P 4 -2'
loop_
_atom_site_label
_atom_site_fract_x
_atom_site_fract_y
_atom_site_fract_z
Li1 0.0000 0.0000 0.0000
Si1 0.0000 0.0000 0.4887
Si2 0.5000 0.5000 0.6137
Se1 0.5000 0.5000 0.0349
```

Computed properties:
The value obtained for the calculated density is 3.46 Mg/m³. As for the total energy: -10.66 eV per atom. As for the uncorrected formation energy: -0.123 eV/f.u.

---

This record from Alexandria describes CsGeTe2I at its PBEsol-relaxed geometry. The functional is meta-GGA SCAN.

Cell and atoms, written as CIF:
```
data_CsGeTe2I
_chemical_formula_sum 'Cs1 Ge1 Te2 I1'
_cell_length_a 6.1345
_cell_length_b 6.1345
_cell_length_c 6.5905
_cell_angle_alpha 90.00
_cell_angle_beta 90.00
_cell_angle_gamma 90.00
_symmetry_space_group_name_H-M 'P 4/m m m'
_symmetry_Int_Tables_number 123
_symmetry_space_group_name_Hall '-P 4 2'
loop_
_atom_site_label
_atom_site_fract_x
_atom_site_fract_y
_atom_site_fract_z
Cs1 0.0000 0.0000 0.0000
Ge1 0.5000 0.5000 0.5000
Te1 0.0000 0.5000 0.0000
I1 0.0000 0.0000 0.5000
```

Computed properties:
The value obtained for the calculated density is 3.93 Mg/m³. As for the total energy: -32.55 eV per atom. As for the uncorrected formation energy: 5.387 eV/f.u.

---

Repeat the first record exactly.
This record from Alexandria describes LiSi2Se at its PBEsol-relaxed geometry. The functional is meta-GGA SCAN.

Cell and atoms, written as CIF:
```
data_LiSi2Se
_chemical_formula_sum 'Li1 Si2 Se1'
_cell_length_a 3.5072
_cell_length_b 3.5072
_cell_length_c 5.5364
_cell_angle_alpha 90.00
_cell_angle_beta 90.00
_cell_angle_gamma 90.00
_symmetry_space_group_name_H-M 'P 4 m m'
_symmetry_Int_Tables_number 99
_symmetry_space_group_name_Hall 'P 4 -2'
loop_
_atom_site_label
_atom_site_fract_x
_atom_site_fract_y
_atom_site_fract_z
Li1 0.0000 0.0000 0.0000
Si1 0.0000 0.0000 0.4887
Si2 0.5000 0.5000 0.6137
Se1 0.5000 0.5000 0.0349
```

Computed properties:
The value obtained for the calculated density is 3.46 Mg/m³. As for the total energy: -10.66 eV per atom. As for the uncorrected formation energy: -0.123 eV/f.u.